Density functional theory data (PBE) for crystalline Sb2BrF at its relaxed geometry.

Structure (CIF):
```
data_Sb2BrF
_chemical_formula_sum 'Sb4 Br2 F2'
_symmetry_space_group_name_H-M 'P 1'
_symmetry_Int_Tables_number 1
_cell_length_a 4.598
_cell_length_b 4.598
_cell_length_c 9.967
_cell_angle_alpha 76.66
_cell_angle_beta 76.66
_cell_angle_gamma 90.00
loop_
_symmetry_equiv_pos_as_xyz
'x,y,z'
loop_
_atom_site_label
_atom_site_type_symbol
_atom_site_fract_x
_atom_site_fract_y
_atom_site_fract_z
Sb1 Sb 0.578 0.125 0.250
Sb2 Sb 0.172 0.625 0.250
Sb3 Sb 0.375 0.422 0.750
Sb4 Sb 0.875 0.828 0.750
Br1 Br 0.000 0.000 0.000
Br2 Br 0.750 0.250 0.500
F1 F 0.500 0.500 0.000
F2 F 0.250 0.750 0.500
```

Results
energy relative to the lowest polymorph listed for this composition = 0.00 eV/f.u.
size of the total moment = 0.000 μB/atom
formation energy without anion corrections = -0.548 eV per atom
space group = I-42d, No. 122